Record 1
A plane-wave DFT calculation with PBE was carried out for a relaxed structure of SrMnRh2N.

Lattice parameters (Å, degrees): 4.8704 4.8704 3.5865 90.00 90.00 90.00
Space group P4/mmm (No. 123)
Asymmetric unit:
Sr: 0.0000 0.0000 0.0000 (multiplicity 1)
Mn: 0.5000 0.5000 0.5000 (multiplicity 1)
Rh: 0.0000 0.5000 0.5000 (multiplicity 2)
N: 0.5000 0.5000 0.0000 (multiplicity 1)

Properties
- electronic total energy (eV/atom) = -6.33
- total magnetization (μB per cell) = 0.0
- raw formation energy (eV per atom) = 0.441


Record 2
A plane-wave DFT calculation with PBE was carried out for a relaxed structure of MgFeP4.

Lattice parameters (Å, degrees): 7.1321 7.1321 7.1321 90.00 90.00 90.00
Space group F-43m (No. 216)
Asymmetric unit:
Mg: 0.0000 0.0000 0.0000 (multiplicity 4)
Fe: 0.2500 0.2500 0.2500 (multiplicity 4)
P: 0.1234 0.1234 0.6234 (multiplicity 16)

Properties
- electronic total energy (eV/atom) = -4.78
- total magnetization (μB per cell) = 11.0
- energy of formation from the pure elements (meV per atom) = 506


Record 3
A plane-wave DFT calculation with PBE was carried out for a relaxed structure of Y2Al3AgAu4.

Lattice parameters (Å, degrees): 4.2436 4.2436 11.3039 90.00 90.00 90.00
Space group P-4m2 (No. 115)
Asymmetric unit:
Y: 0.0000 0.5000 0.2461 (multiplicity 2)
Al: 0.0000 0.5000 0.8722 (multiplicity 2)
Al: 0.5000 0.5000 0.5000 (multiplicity 1)
Ag: 0.0000 0.0000 0.5000 (multiplicity 1)
Au: 0.0000 0.0000 0.0000 (multiplicity 1)
Au: 0.0000 0.5000 0.6550 (multiplicity 2)
Au: 0.5000 0.5000 0.0000 (multiplicity 1)

Properties
- electronic total energy (eV/atom) = -4.61
- total magnetization (μB per cell) = 0.0
- energy of formation from the pure elements (meV per atom) = -601


Record 4
A plane-wave DFT calculation with PBE was carried out for a relaxed structure of SnAsSe2N.

Lattice parameters (Å, degrees): 4.5810 4.5810 4.4753 90.00 90.00 90.00
Space group P4/mmm (No. 123)
Asymmetric unit:
Sn: 0.0000 0.0000 0.0000 (multiplicity 1)
As: 0.5000 0.5000 0.0000 (multiplicity 1)
Se: 0.0000 0.5000 0.5000 (multiplicity 2)
N: 0.5000 0.5000 0.5000 (multiplicity 1)

Properties
- electronic total energy (eV/atom) = -4.11
- total magnetization (μB per cell) = 0.0
- E above lowest polymorph (eV per atom) = 0.132
- raw formation energy (eV per atom) = 0.682


Record 5
A plane-wave DFT calculation with PBE was carried out for a relaxed structure of HgCI2N.

Lattice parameters (Å, degrees): 6.0484 6.0484 4.2030 90.00 90.00 90.00
Space group P4/mmm (No. 123)
Asymmetric unit:
Hg: 0.0000 0.0000 0.0000 (multiplicity 1)
C: 0.5000 0.5000 0.5000 (multiplicity 1)
I: 0.0000 0.5000 0.0000 (multiplicity 2)
N: 0.0000 0.0000 0.5000 (multiplicity 1)

Properties
- electronic total energy (eV/atom) = -1.89
- total magnetization (μB per cell) = 3.3
- E above lowest polymorph (eV per atom) = 1.609
- raw formation energy (eV per atom) = 2.300